DFT (PBE) results for a geometry-optimized InTe2F structure.

Computed properties:
V: 246.8 Å³ per cell
Raw formation energy: -0.320 eV per atom
Relative energy among the computed polymorphs: 0.0730 eV/atom
N(E_F): 1.39 states/eV per atom

a b c (Å): 6.805 6.805 7.181
angles (deg): 61.72 61.72 90.00
Positions (direct):
F: 0.500 0.500 0.000
F: 0.250 0.750 0.500
Te: 0.596 0.125 0.250
Te: 0.154 0.625 0.250
Te: 0.375 0.404 0.750
Te: 0.875 0.846 0.750
In: 0.000 0.000 0.000
In: 0.750 0.250 0.500

---

DFT (PBE) results for a geometry-optimized Pm7Pr6 structure.

Computed properties:
E_form: 0.23 eV per atom
V: 463.1 Å³ per cell
N(E_F): 2.20 states/eV per atom

a b c (Å): 6.765 6.765 12.320
angles (deg): 74.06 74.06 60.00
Positions (direct):
Pm: 0.000 0.000 0.000
Pm: 0.910 0.423 0.758
Pm: 0.423 0.910 0.758
Pm: 0.910 0.910 0.758
Pm: 0.090 0.090 0.242
Pm: 0.090 0.577 0.242
Pm: 0.577 0.090 0.242
Pr: 0.835 0.835 0.494
Pr: 0.165 0.165 0.506
Pr: 0.650 0.650 0.050
Pr: 0.350 0.350 0.950
Pr: 0.547 0.547 0.360
Pr: 0.453 0.453 0.640

---

DFT (PBE) results for a geometry-optimized Ca3SnPt3 structure.

Computed properties:
E_form: -0.89 eV per atom
V: 328.5 Å³ per cell
N(E_F): 0.60 states/eV per atom

a b c (Å): 4.430 5.731 14.030
angles (deg): 90.00 90.00 112.73
Positions (direct):
Ca: 0.207 0.415 0.894
Ca: 0.793 0.585 0.106
Ca: 0.207 0.415 0.606
Ca: 0.793 0.585 0.394
Ca: 0.490 0.979 0.750
Ca: 0.510 0.021 0.250
Sn: 0.500 0.000 0.000
Sn: 0.500 0.000 0.500
Pt: 0.914 0.829 0.909
Pt: 0.086 0.171 0.091
Pt: 0.914 0.829 0.591
Pt: 0.086 0.171 0.409
Pt: 0.779 0.558 0.750
Pt: 0.221 0.442 0.250